Here is a geometry-optimized CaSbPd2 structure from the Alexandria database. Energies are from GGA-PBEsol.

Unit cell a=4.713 b=4.713 c=4.713 alpha=60.00 beta=60.00 gamma=60.00
Atoms (fractional coordinates):
1 Ca 0.000 0.000 0.000
2 Sb 0.500 0.500 0.500
3 Pd 0.250 0.250 0.250
4 Pd 0.750 0.750 0.750

Values from the calculation:
The space-group type is Fm-3m (225). The uncorrected formation energy comes out at -67.8 kJ per mole of atoms. For the total moment, the calculation gives 0.00 μB per formula unit. The calculation puts the total energy at -21.4 eV per formula unit.